Entry 1:
HoTh2P3 GGA-PBE relaxed; symmetry = No. 12
1.0
3.550 -6.140 0.000
3.550 6.140 0.000
-2.361 0.000 6.678
Ho Th P
2 4 6
Direct
0.167 0.833 0.000 Ho
0.833 0.167 0.000 Ho
0.000 0.000 0.500 Th
0.334 0.666 0.500 Th
0.500 0.500 0.000 Th
0.666 0.334 0.500 Th
0.080 0.418 0.756 P
0.243 0.243 0.243 P
0.418 0.080 0.756 P
0.582 0.920 0.244 P
0.757 0.757 0.757 P
0.920 0.582 0.244 P

=====

Entry 2:
HoTm3Th2P6 GGA-PBE relaxed; symmetry = No. 12
1.0
8.760 -2.017 0.000
8.760 2.017 0.000
-1.813 0.000 7.821
Ho Tm Th P
1 3 2 6
Direct
0.000 0.000 0.000 Ho
0.000 0.000 0.500 Tm
0.334 0.334 0.166 Tm
0.666 0.666 0.834 Tm
0.335 0.335 0.670 Th
0.665 0.665 0.330 Th
0.164 0.164 0.589 P
0.167 0.167 0.075 P
0.497 0.497 0.250 P
0.503 0.503 0.750 P
0.833 0.833 0.925 P
0.836 0.836 0.411 P

=====

Entry 3:
HoTmTh2P4 GGA-PBE relaxed; symmetry = No. 10
1.0
6.986 0.000 0.000
0.000 4.071 0.000
-2.380 0.000 6.640
Ho Tm Th P
1 1 2 4
Direct
0.000 0.000 0.000 Ho
0.000 0.500 0.500 Tm
0.500 0.000 0.500 Th
0.500 0.500 0.000 Th
0.239 0.000 0.745 P
0.240 0.500 0.248 P
0.760 0.500 0.752 P
0.761 0.000 0.255 P

=====

Entry 4:
Ho3TmTh2P6 GGA-PBE relaxed; symmetry = No. 12
1.0
8.794 -2.023 0.000
8.794 2.023 0.000
-1.835 0.000 7.848
Ho Tm Th P
3 1 2 6
Direct
0.000 0.000 0.000 Ho
0.334 0.334 0.666 Ho
0.666 0.666 0.334 Ho
0.000 0.000 0.500 Tm
0.335 0.335 0.171 Th
0.665 0.665 0.829 Th
0.165 0.165 0.088 P
0.166 0.166 0.576 P
0.498 0.498 0.747 P
0.502 0.502 0.253 P
0.834 0.834 0.424 P
0.835 0.835 0.912 P

=====

Entry 5:
Ho2ThUP4 GGA-PBE relaxed; symmetry = No. 10
1.0
6.954 0.000 0.000
0.000 4.017 0.000
-2.318 0.000 6.568
Ho Th U P
2 1 1 4
Direct
0.000 0.000 0.000 Ho
0.500 0.500 0.000 Ho
0.000 0.500 0.500 Th
0.500 0.000 0.500 U
0.257 0.500 0.250 P
0.259 0.000 0.755 P
0.741 0.000 0.245 P
0.743 0.500 0.750 P

=====

Entry 6:
HoTh2UP4 GGA-PBE relaxed; symmetry = No. 10
1.0
7.007 0.000 0.000
0.000 4.047 0.000
-2.328 0.000 6.634
Ho Th U P
1 2 1 4
Direct
0.000 0.000 0.000 Ho
0.500 0.000 0.500 Th
0.500 0.500 0.000 Th
0.000 0.500 0.500 U
0.236 0.000 0.743 P
0.238 0.500 0.249 P
0.762 0.500 0.751 P
0.764 0.000 0.257 P

=====

Entry 7:
Y3HoTh2P6 GGA-PBE relaxed; symmetry = No. 12
1.0
8.835 -2.033 0.000
8.835 2.033 0.000
-1.842 0.000 7.885
Y Ho Th P
3 1 2 6
Direct
0.000 0.000 0.000 Y
0.334 0.334 0.666 Y
0.666 0.666 0.334 Y
0.000 0.000 0.500 Ho
0.335 0.335 0.170 Th
0.665 0.665 0.830 Th
0.166 0.166 0.086 P
0.166 0.166 0.578 P
0.498 0.498 0.748 P
0.502 0.502 0.252 P
0.834 0.834 0.422 P
0.834 0.834 0.914 P

=====

Entry 8:
YHo3Th2P6 GGA-PBE relaxed; symmetry = No. 12
1.0
8.813 -2.028 0.000
8.813 2.028 0.000
-1.832 0.000 7.867
Y Ho Th P
1 3 2 6
Direct
0.000 0.000 0.000 Y
0.000 0.000 0.500 Ho
0.334 0.334 0.166 Ho
0.666 0.666 0.834 Ho
0.335 0.335 0.670 Th
0.665 0.665 0.330 Th
0.165 0.165 0.588 P
0.167 0.167 0.077 P
0.498 0.498 0.250 P
0.502 0.502 0.750 P
0.833 0.833 0.923 P
0.835 0.835 0.412 P

=====

We obtain formation energy from the elements values of -1.565 -1.590 -1.577 -1.594 -1.423 -1.409 -1.609 -1.602 eV/atom for the records listed above, in that order.